The following is a PBE-GGA calculation of an optimized crystal structure of DyH4IrPt2, from the Alexandria database.

Lattice parameters (Å, degrees): 5.089 5.089 4.541 111.07 111.07 110.19
Sites, in units of the cell vectors:
Dy: 0.000 0.000 0.000
H: 0.186 0.436 0.611
H: 0.497 0.047 0.989
H: 0.564 0.814 0.389
H: 0.953 0.503 0.011
Ir: 0.251 0.749 0.500
Pt: 0.519 0.481 0.000
Pt: 0.738 0.262 0.500

Calculated values
SG: No. 5
uncorrected energy: -5.1920 eV/atom
magnetization: 0.00 μB per cell